(1)
K2ScAl: optimized geometry, PBE-GGA.

As for the density of states at the Fermi level: 3.6 states/eV per cell. The formation energy is 0.1938 eV/atom. The symmetry is C2/m. Its total energy is -2.873 eV per atom.

a b c (Å): 10.7038 10.7038 4.5230
angles (deg): 78.00 78.00 19.04
Atoms (fractional coordinates):
K 0.9041 0.9041 0.0991
Sc 0.7500 0.7500 0.7500
K 0.5959 0.5959 0.4009
Al 0.2500 0.2500 0.2500

=====

(2)
K2ScAl: optimized geometry, PBE-GGA.

As for the density of states at the Fermi level: 8.5 states/eV per cell. The formation energy is 0.6432 eV/atom. The symmetry is I-42d. Its total energy is -2.424 eV per atom.

a b c (Å): 12.2971 12.2971 9.1160
angles (deg): 47.59 47.59 90.00
Atoms (fractional coordinates):
Al 0.2500 0.7500 0.5000
K 0.8750 0.7397 0.7500
Sc 0.0000 0.0000 0.0000
K 0.2603 0.6250 0.2500
Al 0.5000 0.5000 0.0000
K 0.3750 0.5103 0.7500
Sc 0.7500 0.2500 0.5000
K 0.4897 0.1250 0.2500

=====

(3)
K2ScAl: optimized geometry, PBE-GGA.

As for the density of states at the Fermi level: 5.1 states/eV per cell. The formation energy is 0.6245 eV/atom. The symmetry is P4/mmm. Its total energy is -2.443 eV per atom.

a b c (Å): 3.2851 3.2851 12.6345
angles (deg): 90.00 90.00 90.00
Atoms (fractional coordinates):
K 0.0000 0.0000 0.9774
Al 0.5000 0.5000 0.7500
Sc 0.5000 0.5000 0.2500
K 0.0000 0.0000 0.5226

=====

(4)
K2ScAl: optimized geometry, PBE-GGA.

As for the density of states at the Fermi level: 3.6 states/eV per cell. The formation energy is 0.4956 eV/atom. The symmetry is Pmmm. Its total energy is -2.572 eV per atom.

a b c (Å): 4.0821 4.9824 6.2768
angles (deg): 90.00 90.00 90.00
Atoms (fractional coordinates):
Sc 0.5000 0.0000 0.5000
K 0.0000 0.0000 0.0000
K 0.5000 0.5000 0.0000
Al 0.0000 0.5000 0.5000

=====

(5)
K3Sc3AlSe8: optimized geometry, PBE-GGA.

As for the density of states at the Fermi level: 5.1 states/eV per cell. The symmetry is C2/m. The calculation puts the uncorrected formation energy at -1392 meV per atom. Its total energy is -4.986 eV per atom.

a b c (Å): 7.7411 7.7482 9.0950
angles (deg): 115.23 90.00 119.99
Atoms (fractional coordinates):
Se 0.2242 0.9646 0.6887
Se 0.2598 0.0354 0.3112
Se 0.7324 0.4648 0.6968
Sc 0.5000 0.5000 0.5000
K 0.0000 0.0000 0.0000
Sc 0.0000 0.5000 0.5000
Al 0.0000 0.0000 0.5000
Se 0.7402 0.9646 0.6888
Se 0.7758 0.0354 0.3113
Se 0.7757 0.5514 0.3113
Sc 0.5000 0.0000 0.5000
Se 0.2243 0.4486 0.6887
Se 0.2676 0.5352 0.3032
K 0.5000 0.5000 0.0000
K 0.0000 0.5000 0.0000

=====

(6)
KScAl2Sn: optimized geometry, PBE-GGA.

As for the density of states at the Fermi level: 4.5 states/eV per cell. The formation energy is 0.8502 eV/atom. The symmetry is P4/mmm. Its total energy is -2.933 eV per atom.

a b c (Å): 5.3137 5.8595 5.3137
angles (deg): 90.00 90.00 90.00
Atoms (fractional coordinates):
Sc 0.5000 0.5000 0.5000
Al 0.0000 0.0000 0.5000
K 0.0000 0.5000 0.0000
Al 0.5000 0.0000 0.0000
Sn 0.0000 0.0000 0.0000

=====

(7)
K3Sc3AlTe8: optimized geometry, PBE-GGA.

As for the density of states at the Fermi level: 3.5 states/eV per cell. The symmetry is C2/m. The calculation puts the uncorrected formation energy at -1034 meV per atom. Its total energy is -4.445 eV per atom.

a b c (Å): 8.3162 8.3304 9.7937
angles (deg): 115.26 90.00 119.94
Atoms (fractional coordinates):
Sc 0.5000 0.0000 0.5000
Te 0.7333 0.4667 0.6998
Te 0.2271 0.4542 0.6923
Te 0.2667 0.5333 0.3002
Te 0.7382 0.9652 0.6923
Te 0.2270 0.9652 0.6923
K 0.0000 0.5000 0.0000
Te 0.7729 0.5458 0.3077
Al 0.0000 0.0000 0.5000
Sc 0.5000 0.5000 0.5000
K 0.5000 0.5000 0.0000
Sc 0.0000 0.5000 0.5000
K 0.0000 0.0000 0.0000
Te 0.2618 0.0348 0.3077
Te 0.7730 0.0348 0.3077

=====

(8)
KAlSe: optimized geometry, PBE-GGA.

The symmetry is P3m1. The energy above the lowest structure with this stoichiometry comes out at 146.5 meV/atom. The calculation puts the uncorrected formation energy at -566 meV per atom. Its total energy is -3.341 eV per atom.

a b c (Å): 3.9586 3.9586 6.5757
angles (deg): 90.00 90.00 120.00
Atoms (fractional coordinates):
Se 0.0000 0.0000 0.3211
K 0.3333 0.6667 0.6863
Al 0.6667 0.3333 0.1179

=====

(9)
KAlSe: optimized geometry, PBE-GGA.

The symmetry is R3m. The energy above the lowest structure with this stoichiometry comes out at 141.6 meV/atom. The calculation puts the uncorrected formation energy at -571 meV per atom. Its total energy is -3.345 eV per atom.

a b c (Å): 3.9191 3.9191 19.8987
angles (deg): 90.00 90.00 120.00
Atoms (fractional coordinates):
K 0.0000 0.0000 0.6422
Al 0.6667 0.3333 0.1687
K 0.6667 0.3333 0.9756
Al 0.3333 0.6667 0.5020
K 0.3333 0.6667 0.3089
Se 0.3333 0.6667 0.1012
Al 0.0000 0.0000 0.8353
Se 0.0000 0.0000 0.4345
Se 0.6667 0.3333 0.7678

=====

(10)
KAlSe2: optimized geometry, PBE-GGA.

As for the density of states at the Fermi level: 0.0 states/eV per cell. The symmetry is Cmmm. The calculation puts the uncorrected formation energy at -755 meV per atom. Its total energy is -3.707 eV per atom.

a b c (Å): 6.0639 6.0639 8.5983
angles (deg): 90.00 90.00 34.83
Atoms (fractional coordinates):
Se 0.0000 0.0000 0.0554
K 0.5000 0.5000 0.7500
Se 0.0000 0.0000 0.4446
Al 0.5000 0.5000 0.2500

=====

(11)
KAlSe2: optimized geometry, PBE-GGA.

As for the density of states at the Fermi level: 0.0 states/eV per cell. The symmetry is R3m. The calculation puts the uncorrected formation energy at -1003 meV per atom. Its total energy is -3.955 eV per atom.

a b c (Å): 7.9582 7.9582 7.9582
angles (deg): 27.95 27.95 27.95
Atoms (fractional coordinates):
K 0.7501 0.7501 0.7501
Al 0.5831 0.5831 0.5831
Se 0.1892 0.1892 0.1892
Se 0.9775 0.9775 0.9775

=====

(12)
KAlSe2: optimized geometry, PBE-GGA.

As for the density of states at the Fermi level: 0.0 states/eV per cell. The symmetry is Pnma. The calculation puts the uncorrected formation energy at -1010 meV per atom. Its total energy is -3.962 eV per atom.

a b c (Å): 6.7424 3.6974 18.4917
angles (deg): 90.00 90.00 90.00
Atoms (fractional coordinates):
Se 0.2665 0.7500 0.5248
Se 0.8533 0.7500 0.1565
Se 0.3533 0.7500 0.3435
Al 0.8856 0.2500 0.0657
K 0.8582 0.7500 0.3349
Al 0.6144 0.7500 0.5657
Al 0.1144 0.7500 0.9343
Se 0.7335 0.2500 0.4752
K 0.6418 0.2500 0.8349
Al 0.3856 0.2500 0.4343
Se 0.1467 0.2500 0.8435
Se 0.7665 0.7500 0.9752
K 0.1418 0.2500 0.6651
Se 0.2335 0.2500 0.0248
K 0.3582 0.7500 0.1651
Se 0.6467 0.2500 0.6565